No. 1
# ZrFe2Te

ZrFe2Te after structural relaxation (PBE-GGA, the Alexandria database).

Lattice parameters (Å, degrees): 4.1665 4.1665 3.8500 90.00 90.00 90.00
With the nearest neighbours (Å) after each atom.
Element x y z (fractional)
Zr  0.0000  0.0000  0.0000  8 Fe 2.84, 4 Te 2.95
Fe  0.0000  0.5000  0.5000  4 Zr 2.84, 4 Te 2.84, 4 Fe 2.95
Fe  0.5000  0.0000  0.5000  4 Zr 2.84, 4 Te 2.84, 4 Fe 2.95
Te  0.5000  0.5000  0.0000  8 Fe 2.84, 4 Zr 2.95

**SG**: P4/mmm, No. 123



No. 2
# Zr2FeTe

Zr2FeTe after structural relaxation (PBE-GGA, the Alexandria database).

Lattice parameters (Å, degrees): 3.5019 4.5577 9.8556 90.00 90.00 90.00
With the nearest neighbours (Å) after each atom.
Element x y z (fractional)
Zr  0.0000  0.0000  0.0000  4 Fe 2.87, 2 Te 3.07, 2 Zr 3.18
Zr  0.0000  0.5000  0.2255  2 Fe 2.80, 4 Te 2.94
Zr  0.5000  0.0000  0.7255  2 Fe 2.80, 4 Te 2.94
Zr  0.5000  0.5000  0.5000  4 Fe 2.87, 2 Te 3.07, 2 Zr 3.18
Fe  0.0000  0.0000  0.5041  2 Te 2.74, 6 Zr 2.80-2.87
Fe  0.5000  0.5000  0.0041  2 Te 2.74, 6 Zr 2.80-2.87
Te  0.0000  0.5000  0.7905  2 Fe 2.74, 4 Zr 2.94
Te  0.5000  0.0000  0.2905  2 Fe 2.74, 4 Zr 2.94

**SG**: Imm2, No. 44



No. 3
# ZrFe2Te

ZrFe2Te after structural relaxation (PBE-GGA, the Alexandria database).

Lattice parameters (Å, degrees): 3.3425 4.0854 5.3785 90.00 90.00 90.00
With the nearest neighbours (Å) after each atom.
Element x y z (fractional)
Zr  0.0000  0.0000  0.0000  8 Fe 2.87, 4 Te 3.17
Fe  0.5000  0.5000  0.2080  1 Fe 2.24
Fe  0.5000  0.5000  0.7920  1 Fe 2.24
Te  0.5000  0.0000  0.5000  4 Fe 2.58

**SG**: Pmmm, No. 47



No. 4
# Zr3FeTe

Zr3FeTe after structural relaxation (PBE-GGA, the Alexandria database).

Lattice parameters (Å, degrees): 4.8503 4.8503 4.8503 90.00 90.00 90.00
With the nearest neighbours (Å) after each atom.
Element x y z (fractional)
Zr  0.0000  0.0000  0.5000  2 Fe 2.43
Zr  0.0000  0.5000  0.0000  2 Fe 2.43
Zr  0.5000  0.0000  0.0000  2 Fe 2.43
Fe  0.0000  0.0000  0.0000  6 Zr 2.43
Te  0.5000  0.5000  0.5000  12 Zr 3.43

**Relative energy among the computed polymorphs**: 0 meV/atom
**SG**: Pm-3m, No. 221



No. 5
# ZrFe2Te

ZrFe2Te after structural relaxation (PBE-GGA, the Alexandria database).

Lattice parameters (Å, degrees): 8.9244 3.5833 4.5426 90.00 109.58 90.00
With the nearest neighbours (Å) after each atom.
Element x y z (fractional)
Zr  0.0000  0.0000  0.0000  6 Fe 2.82-2.83, 4 Te 2.89
Zr  0.5000  0.5000  0.0000  6 Fe 2.82-2.83, 4 Te 2.89
Fe  0.2466  0.0000  0.7370  3 Te 2.76-2.81, 4 Fe 2.82-2.97, 3 Zr 2.82-2.83
Fe  0.2534  0.5000  0.2630  3 Te 2.76-2.81, 4 Fe 2.82-2.97, 3 Zr 2.82-2.83
Fe  0.7466  0.5000  0.7370  3 Te 2.76-2.81, 4 Fe 2.82-2.97, 3 Zr 2.82-2.83
Fe  0.7534  0.0000  0.2630  3 Te 2.76-2.81, 4 Fe 2.82-2.97, 3 Zr 2.82-2.83
Te  0.0000  0.5000  0.5000  6 Fe 2.76-2.81, 4 Zr 2.89
Te  0.5000  0.0000  0.5000  6 Fe 2.76-2.81, 4 Zr 2.89

**SG**: C2/m, No. 12



No. 6
# Zr2FeTe

Zr2FeTe after structural relaxation (PBE-GGA, the Alexandria database).

Lattice parameters (Å, degrees): 7.4365 7.4365 5.9572 90.00 90.00 90.00
With the nearest neighbours (Å) after each atom.
Element x y z (fractional)
Zr  0.1941  0.2500  0.1250  2 Fe 2.47
Zr  0.2500  0.6941  0.3750  2 Fe 2.47
Zr  0.2500  0.8059  0.8750  2 Fe 2.47
Zr  0.3059  0.2500  0.6250  2 Fe 2.47
Zr  0.6941  0.7500  0.6250  2 Fe 2.47
Zr  0.7500  0.1941  0.8750  2 Fe 2.47
Zr  0.7500  0.3059  0.3750  2 Fe 2.47
Zr  0.8059  0.7500  0.1250  2 Fe 2.47
Fe  0.0000  0.0000  0.0000  4 Zr 2.47
Fe  0.0000  0.5000  0.2500  4 Zr 2.47
Fe  0.5000  0.0000  0.7500  4 Zr 2.47
Fe  0.5000  0.5000  0.5000  4 Zr 2.47
Te  0.0000  0.0000  0.5000  2 Fe 2.98, 8 Zr 3.03-3.24
Te  0.0000  0.5000  0.7500  2 Fe 2.98, 8 Zr 3.03-3.24
Te  0.5000  0.0000  0.2500  2 Fe 2.98, 8 Zr 3.03-3.24
Te  0.5000  0.5000  0.0000  2 Fe 2.98, 8 Zr 3.03-3.24

**SG**: I-42d, No. 122



Number 1: V 66.8 Å³/cell, formation energy from raw total energies 1 kJ per mole of atoms. Number 2: V 157.3 Å³/cell, formation energy from raw total energies -22 kJ per mole of atoms. Number 3: V 73.4 Å³/cell, formation energy from raw total energies 3 kJ per mole of atoms. Number 4: V 114.1 Å³/cell, formation energy from raw total energies -5 kJ per mole of atoms. Number 5: V 136.9 Å³/cell, formation energy from raw total energies 10 kJ per mole of atoms. Number 6: V 329.4 Å³/cell, formation energy from raw total energies -3 kJ per mole of atoms.